A relaxed NaAuS3 crystal. Source: Alexandria, functional PBE-GGA.

Cell: 4.995 4.995 4.995 Å, 90.00 90.00 90.00°
Fractional positions:
Na  0.000  0.000  0.000
Au  0.500  0.500  0.500
S  0.000  0.000  0.500
S  0.000  0.500  0.000
S  0.500  0.000  0.000

For the distance to the lowest polymorph of the same formula, the calculation gives 1392 meV per atom. Its total energy is -2.269 eV per atom. As for the formation energy (no corrections): 5.64 eV per formula unit.

=====

A relaxed NaAuS4 crystal. Source: Alexandria, functional PBE-GGA.

Cell: 6.729 7.384 7.832 Å, 88.73 64.61 87.16°
Fractional positions:
Na  0.248  0.251  0.002
Na  0.752  0.749  0.998
Au  0.250  0.751  0.001
Au  0.750  0.249  0.999
S  0.023  0.962  0.249
S  0.229  0.538  0.249
S  0.272  0.964  0.753
S  0.475  0.538  0.752
S  0.525  0.462  0.248
S  0.728  0.036  0.247
S  0.771  0.462  0.751
S  0.977  0.038  0.751

Its total energy is -3.765 eV per atom. As for the formation energy (no corrections): -1.49 eV per formula unit.

=====

A relaxed NaAu2S crystal. Source: Alexandria, functional PBE-GGA.

Cell: 9.103 9.103 9.103 Å, 146.40 146.40 48.25°
Fractional positions:
Na  0.000  0.000  0.000
Na  0.750  0.250  0.500
Au  0.307  0.625  0.182
Au  0.375  0.557  0.682
Au  0.443  0.125  0.818
Au  0.875  0.693  0.318
S  0.250  0.750  0.500
S  0.500  0.500  0.000

Its total energy is -3.078 eV per atom. As for the formation energy (no corrections): -0.31 eV per formula unit.

=====

A relaxed NaAu3S crystal. Source: Alexandria, functional PBE-GGA.

Cell: 4.944 4.944 4.944 Å, 90.00 90.00 90.00°
Fractional positions:
Na  0.000  0.000  0.000
Au  0.000  0.500  0.500
Au  0.500  0.000  0.500
Au  0.500  0.500  0.000
S  0.500  0.500  0.500

For the distance to the lowest polymorph of the same formula, the calculation gives 0 meV per atom. Its total energy is -2.903 eV per atom. As for the formation energy (no corrections): 0.76 eV per formula unit.